(1)
Material: BeSnBIr
Method: DFT, PBE-GGA
State: relaxed

Energy above the lowest structure with this stoichiometry (eV/atom): 0.0000
Density (g/cm³): 10.8
E (eV/atom): -5.126

Structure (POSCAR):
```
BeSnBIr
1.0
0.0000 2.9438 2.9438
2.9438 0.0000 2.9438
2.9438 2.9438 0.0000
Be Sn B Ir
1 1 1 1
Direct
0.0000 0.0000 0.0000 Be
0.2500 0.2500 0.2500 Sn
0.5000 0.5000 0.5000 B
0.7500 0.7500 0.7500 Ir
```

=====

(2)
Material: Gd2HoCu2B2N3
Method: DFT, PBE-GGA
State: relaxed

Density (g/cm³): 8.9
E (eV/atom): -7.017

Structure (POSCAR):
```
Gd2HoCu2B2N3
1.0
-1.7551 1.7551 10.1985
1.7551 -1.7551 10.1985
1.7551 1.7551 -10.1985
Gd Ho Cu B N
2 1 2 2 3
Direct
0.1211 0.1211 0.0000 Gd
0.8789 0.8789 0.0000 Gd
0.5000 0.5000 0.0000 Ho
0.2500 0.7500 0.5000 Cu
0.7500 0.2500 0.5000 Cu
0.3159 0.3159 0.0000 B
0.6841 0.6841 0.0000 B
0.0000 0.0000 0.0000 N
0.3864 0.3864 0.0000 N
0.6136 0.6136 0.0000 N
```

=====

(3)
Material: UTlPd
Method: DFT, PBE-GGA
State: relaxed

Density (g/cm³): 12.0
E (eV/atom): -6.158

Structure (POSCAR):
```
UTlPd
1.0
0.0000 3.3588 3.3588
3.3588 0.0000 3.3588
3.3588 3.3588 0.0000
U Tl Pd
1 1 1
Direct
0.0000 0.0000 0.0000 U
0.5000 0.5000 0.5000 Tl
0.7500 0.7500 0.7500 Pd
```

=====

Which of these has the lowest density?
Gd2HoCu2B2N3

=====

Copy entry 3 word for word.
Material: UTlPd
Method: DFT, PBE-GGA
State: relaxed

Density (g/cm³): 12.0
E (eV/atom): -6.158

Structure (POSCAR):
```
UTlPd
1.0
0.0000 3.3588 3.3588
3.3588 0.0000 3.3588
3.3588 3.3588 0.0000
U Tl Pd
1 1 1
Direct
0.0000 0.0000 0.0000 U
0.5000 0.5000 0.5000 Tl
0.7500 0.7500 0.7500 Pd
```

=====

What is the formula in the third record?
UTlPd